Entry 1:
Below is NbZnHI2 after structural relaxation, with properties calculated at the GGA-PBE level.

Computed properties:
final energy	-15.3	eV per cell

Unit cell a=5.4753 b=5.4753 c=3.7060 alpha=90.00 beta=90.00 gamma=90.00
With the nearest neighbours (Å) after each atom.
Space group P4/mmm (No. 123)
Asymmetric unit:
Nb (0.0000, 0.0000, 0.0000) [1 per cell]  2 H 1.85
Zn (0.5000, 0.5000, 0.0000) [1 per cell]  8 I 3.31
H (0.0000, 0.0000, 0.5000) [1 per cell]  2 Nb 1.85
I (0.0000, 0.5000, 0.5000) [2 per cell]  2 H 2.74


Entry 2:
Below is YOsRu2 after structural relaxation, with properties calculated at the GGA-PBE level.

Computed properties:
energy of formation from the pure elements	1.34	eV/f.u.
polymorph energy (0 for the lowest one)	173.6	meV per atom

Unit cell a=3.1161 b=4.5570 c=4.7088 alpha=90.00 beta=90.00 gamma=90.00
With the nearest neighbours (Å) after each atom.
Space group Pmmm (No. 47)
Asymmetric unit:
Y (0.0000, 0.0000, 0.0000) [1 per cell]  4 Ru 2.76, 4 Os 2.82
Os (0.5000, 0.0000, 0.5000) [1 per cell]  4 Ru 2.76, 4 Y 2.82
Ru (0.0000, 0.5000, 0.5000) [1 per cell]  4 Os 2.76, 4 Ru 2.82
Ru (0.5000, 0.5000, 0.0000) [1 per cell]  4 Y 2.76, 4 Ru 2.82


What did we get for total magnetization? Answer: 2.4, 1.1 μB per cell, in the order shown.